No. 1
PBE-GGA Cs2MgInBr6, relaxed; uncorrected formation energy = -1.370 eV/atom; E = -29.77 eV per formula unit
1.0
0.000 5.618 5.618
5.618 0.000 5.618
5.618 5.618 0.000
Cs Mg In Br
2 1 1 6
Direct
0.250 0.250 0.250
0.750 0.750 0.750
0.000 0.000 0.000
0.500 0.500 0.500
0.242 0.242 0.758
0.242 0.758 0.242
0.242 0.758 0.758
0.758 0.242 0.242
0.758 0.242 0.758
0.758 0.758 0.242



No. 2
PBE-GGA Cs3Mg2InBr9, relaxed; uncorrected formation energy = -1.442 eV/atom; E = -45.17 eV per formula unit
1.0
7.860 0.000 0.000
-3.930 6.807 0.000
0.000 0.000 9.644
Cs Mg In Br
3 2 1 9
Direct
0.000 0.000 0.000
0.333 0.667 0.666
0.667 0.333 0.334
0.333 0.667 0.157
0.667 0.333 0.843
0.000 0.000 0.500
0.000 0.500 0.000
0.173 0.347 0.327
0.173 0.827 0.327
0.347 0.173 0.673
0.500 0.000 0.000
0.500 0.500 0.000
0.653 0.827 0.327
0.827 0.173 0.673
0.827 0.653 0.673



No. 3
PBE-GGA CsMnInBr4, relaxed; uncorrected formation energy = -1.067 eV/atom; E = -26.92 eV per formula unit
1.0
7.558 0.000 0.000
0.000 7.795 0.000
-3.292 0.000 9.468
Cs Mn In Br
2 2 2 8
Direct
0.220 0.250 0.431
0.780 0.750 0.569
0.283 0.750 0.190
0.717 0.250 0.810
0.283 0.250 0.962
0.717 0.750 0.038
0.082 0.750 0.937
0.086 0.750 0.347
0.498 0.003 0.243
0.498 0.497 0.243
0.502 0.503 0.757
0.502 0.997 0.757
0.914 0.250 0.653
0.918 0.250 0.063



No. 4
PBE-GGA Cs4Mn3InBr12, relaxed; uncorrected formation energy = -1.185 eV/atom; E = -77.43 eV per formula unit
1.0
-5.524 5.524 5.524
5.524 -5.524 5.524
5.524 5.524 -5.524
Cs Mn In Br
4 3 1 12
Direct
0.000 0.000 0.500
0.000 0.500 0.000
0.500 0.000 0.000
0.500 0.500 0.500
0.000 0.500 0.500
0.500 0.000 0.500
0.500 0.500 0.000
0.000 0.000 0.000
0.000 0.264 0.264
0.000 0.736 0.736
0.250 0.500 0.750
0.250 0.750 0.500
0.264 0.000 0.264
0.264 0.264 0.000
0.500 0.250 0.750
0.500 0.750 0.250
0.736 0.000 0.736
0.736 0.736 0.000
0.750 0.250 0.500
0.750 0.500 0.250